This record from Alexandria via LeMat-Bulk describes Ta3Tc2 after structural relaxation. The functional is GGA-PBE.

Properties
Mass density, g cm⁻³: 14.77
Spin magnetization, μB per cell: 0.000
ΔE_f, eV per atom: -0.4116
Uncorrected energy, eV/atom: -11.67
Relative energy among the computed polymorphs, eV per formula unit: 0.000
Space group: P4/mmm (123)

Cell lengths 3.1974, 3.1974, 16.2457 Å; angles 90.00, 90.00, 90.00 degrees
With the nearest neighbours (Å) after each atom.
Sites, in units of the cell vectors:
Ta (0.0000, 0.0000, 0.8918)  4 Tc 2.76, 4 Ta 2.86
Ta (0.0000, 0.0000, 0.1082)  4 Tc 2.76, 4 Ta 2.86
Ta (0.0000, 0.0000, 0.3039)  8 Tc 2.76-2.77
Ta (0.0000, 0.0000, 0.5000)  8 Tc 2.77
Ta (0.0000, 0.0000, 0.6961)  8 Tc 2.76-2.77
Ta (0.5000, 0.5000, 0.0000)  12 Ta 2.86-3.20
Tc (0.5000, 0.5000, 0.2058)  8 Ta 2.76-2.77
Tc (0.5000, 0.5000, 0.4019)  8 Ta 2.76-2.77
Tc (0.5000, 0.5000, 0.5981)  8 Ta 2.76-2.77
Tc (0.5000, 0.5000, 0.7942)  8 Ta 2.76-2.77

This record from Alexandria via LeMat-Bulk describes RbAsN2O after structural relaxation. The functional is GGA-PBE.

Properties
Mass density, g cm⁻³: 5.09
Spin magnetization, μB per cell: 2.369
Uncorrected energy, eV/atom: -4.77
Formation energy from raw total energies, eV per atom: 0.676
Space group: P4/mmm (123)

Cell lengths 4.0339, 4.0339, 4.0945 Å; angles 90.00, 90.00, 90.00 degrees
With the nearest neighbours (Å) after each atom.
Sites, in units of the cell vectors:
As (0.0000, 0.0000, 0.0000)  4 N 2.02, 2 O 2.05
O (0.0000, 0.0000, 0.5000)  2 As 2.05
Rb (0.5000, 0.5000, 0.5000)  4 O 2.85, 8 N 2.87
N (0.0000, 0.5000, 0.0000)  2 As 2.02
N (0.5000, 0.0000, 0.0000)  2 As 2.02

This record from Alexandria via LeMat-Bulk describes BeGa3Bi after structural relaxation. The functional is GGA-PBE.

Properties
Mass density, g cm⁻³: 4.13
Spin magnetization, μB per cell: 0.000
ΔE_f, eV per atom: 1.1624
Uncorrected energy, eV/atom: -2.18
Relative energy among the computed polymorphs, eV per formula unit: 4.671
Space group: Pm-3m (221)

Cell lengths 5.5605, 5.5605, 5.5605 Å; angles 90.00, 90.00, 90.00 degrees
With the nearest neighbours (Å) after each atom.
Sites, in units of the cell vectors:
Be (0.5000, 0.5000, 0.5000)  12 Ga 3.93
Bi (0.0000, 0.0000, 0.0000)  6 Ga 2.78
Ga (0.0000, 0.5000, 0.0000)  2 Bi 2.78
Ga (0.0000, 0.0000, 0.5000)  2 Bi 2.78
Ga (0.5000, 0.0000, 0.0000)  2 Bi 2.78

This record from Alexandria via LeMat-Bulk describes GaSiF3 after structural relaxation. The functional is GGA-PBE.

Properties
Mass density, g cm⁻³: 3.22
Spin magnetization, μB per cell: 0.000
Uncorrected energy, eV/atom: -4.42
Formation energy from raw total energies, eV per atom: -1.612
Space group: Pm-3m (221)

Cell lengths 4.3050, 4.3050, 4.3050 Å; angles 90.00, 90.00, 90.00 degrees
With the nearest neighbours (Å) after each atom.
Sites, in units of the cell vectors:
Si (0.0000, 0.0000, 0.0000)  6 F 2.15
Ga (0.5000, 0.5000, 0.5000)  12 F 3.04
F (0.0000, 0.5000, 0.0000)  2 Si 2.15
F (0.0000, 0.0000, 0.5000)  2 Si 2.15
F (0.5000, 0.0000, 0.0000)  2 Si 2.15

This record from Alexandria via LeMat-Bulk describes AlFe2Sb after structural relaxation. The functional is GGA-PBE.

Properties
Mass density, g cm⁻³: 7.58
Spin magnetization, μB per cell: 2.514
Uncorrected energy, eV/atom: -6.12
Relative energy among the computed polymorphs, eV per formula unit: 0.359
Formation energy from raw total energies, eV per atom: 0.079
Space group: Cm (8)

Cell lengths 4.7373, 4.7373, 4.2537 Å; angles 74.58, 74.58, 38.56 degrees
With the nearest neighbours (Å) after each atom.
Sites, in units of the cell vectors:
Sb (0.4920, 0.4920, 0.5504)  7 Fe 2.57-2.67
Fe (0.9985, 0.9985, 0.0545)  3 Al 2.56-2.57, 4 Sb 2.61-2.67, 2 Fe 2.79
Fe (0.7489, 0.7489, 0.7084)  3 Sb 2.57-2.61, 4 Al 2.59-2.69, 2 Fe 2.79
Al (0.2606, 0.2606, 0.1867)  7 Fe 2.56-2.69

This record from Alexandria via LeMat-Bulk describes LaZn2Re after structural relaxation. The functional is GGA-PBE.

Properties
Mass density, g cm⁻³: 9.71
Spin magnetization, μB per cell: 0.002
ΔE_f, eV per atom: 0.4201
Uncorrected energy, eV/atom: -4.56
Relative energy among the computed polymorphs, eV per formula unit: 0.839
Space group: P4/mmm (123)

Cell lengths 4.0931, 4.0925, 4.6548 Å; angles 90.00, 90.00, 90.00 degrees
With the nearest neighbours (Å) after each atom.
Sites, in units of the cell vectors:
La (0.5000, 0.0000, 0.5000)  4 Re 2.89, 8 Zn 3.10
Re (0.0000, 0.5000, 0.5000)  4 La 2.89, 8 Zn 3.10
Zn (0.0000, 0.0000, 0.0000)  4 Zn 2.89, 4 Re 3.10, 4 La 3.10
Zn (0.5000, 0.5000, 0.0000)  4 Zn 2.89, 4 La 3.10, 4 Re 3.10

This record from Alexandria via LeMat-Bulk describes Pa5Tc2Ge5 after structural relaxation. The functional is GGA-PBE.

Properties
Mass density, g cm⁻³: 11.00
Spin magnetization, μB per cell: 0.000
ΔE_f, eV per atom: -0.2973
Uncorrected energy, eV/atom: -7.91
Space group: C2/m (12)

Cell lengths 3.9775, 7.5501, 10.6839 Å; angles 121.91, 90.00, 105.27 degrees
With the nearest neighbours (Å) after each atom.
Sites, in units of the cell vectors:
Pa (0.5000, 0.0000, 0.5000)  6 Ge 2.88-2.96
Pa (0.6396, 0.2792, 0.9853)  2 Tc 2.73, 5 Ge 2.91-3.01, 1 Pa 2.97
Pa (0.6692, 0.3384, 0.2834)  5 Ge 2.89-2.95, 1 Pa 2.97
Pa (0.3308, 0.6616, 0.7166)  5 Ge 2.89-2.95, 1 Pa 2.97
Pa (0.3604, 0.7208, 0.0147)  2 Tc 2.73, 5 Ge 2.91-3.01, 1 Pa 2.97
Tc (0.0874, 0.1748, 0.7816)  3 Ge 2.59-2.70, 2 Pa 2.73
Tc (0.9126, 0.8252, 0.2184)  3 Ge 2.59-2.70, 2 Pa 2.73
Ge (0.1184, 0.2368, 0.4332)  1 Tc 2.59, 2 Pa 2.89
Ge (0.7111, 0.4221, 0.7785)  2 Tc 2.70, 6 Pa 2.88-3.01
Ge (0.2889, 0.5779, 0.2215)  2 Tc 2.70, 6 Pa 2.88-3.01
Ge (0.8816, 0.7632, 0.5668)  1 Tc 2.59, 2 Pa 2.89
Ge (0.0000, 0.0000, 0.0000)  4 Pa 2.91, 2 Tc 3.21

This record from Alexandria via LeMat-Bulk describes CaPa2VN4 after structural relaxation. The functional is GGA-PBE.

Properties
Mass density, g cm⁻³: 8.55
Spin magnetization, μB per cell: 0.000
Uncorrected energy, eV/atom: -9.16
Formation energy from raw total energies, eV per atom: -1.233
Space group: Cmcm (63)

Cell lengths 3.4282, 6.1249, 11.7354 Å; angles 90.00, 90.00, 106.25 degrees
With the nearest neighbours (Å) after each atom.
Sites, in units of the cell vectors:
Ca (0.1094, 0.2187, 0.7500)  6 N 2.70-2.77
Ca (0.8906, 0.7813, 0.2500)  6 N 2.70-2.77
Pa (0.3671, 0.7342, 0.5484)  6 N 2.32-2.49
Pa (0.6329, 0.2658, 0.0484)  6 N 2.32-2.49
Pa (0.6329, 0.2658, 0.4516)  6 N 2.32-2.49
Pa (0.3671, 0.7342, 0.9516)  6 N 2.32-2.49
V (0.8399, 0.6799, 0.7500)  4 N 1.96-1.98
V (0.1601, 0.3201, 0.2500)  4 N 1.96-1.98
N (0.2673, 0.5346, 0.1224)  1 V 1.96
N (0.7327, 0.4654, 0.6224)  1 V 1.96
N (0.7327, 0.4654, 0.8776)  1 V 1.96
N (0.2673, 0.5346, 0.3776)  1 V 1.96
N (0.0000, 0.0000, 0.5000)  4 Pa 2.39
N (0.0000, 0.0000, 0.0000)  4 Pa 2.39
N (0.4243, 0.8486, 0.7500)  2 V 1.98
N (0.5757, 0.1514, 0.2500)  2 V 1.98